The following is a PBE calculation of a relaxed structure of Ac3P5S12, from Alexandria via LeMat-Bulk.

Values from the calculation:
Formation energy from raw total energies in kJ/mol of atoms: -65.2
Magnetic moment in μB/f.u.: 0.000
Calculated total energy in eV/cell: -409.7
Fermi-level density of states in states/eV per atom: 0.18

```
Ac3P5S12
1.0
13.5206 0.0000 0.0000
-4.5069 12.7473 0.0000
-4.5069 -6.3737 11.0395
S P Ac
48 20 12
Cartesian
7.3338 -1.0208 2.1788
5.6604 -1.1997 6.4356
-5.2713 -0.0819 9.0661
0.5735 8.1840 7.4932
1.0999 1.1997 6.4356
-3.9334 5.5841 5.7251
2.8269 1.8103 3.5463
8.4402 0.7895 5.3144
3.4070 5.1740 4.6039
5.6067 1.7867 1.2630
10.1673 2.9864 3.3409
3.0179 8.0418 1.0576
-0.5735 1.0208 2.1788
1.4890 1.7500 10.1237
-4.3225 5.0339 10.8341
5.2713 1.6681 9.9819
-2.4378 2.6948 6.7828
-1.1536 7.5734 4.6039
-1.4890 0.0819 9.0661
6.9447 3.6789 4.2568
-1.6799 -0.7895 5.3144
-2.8269 7.3944 8.8607
5.0804 5.3529 8.8607
7.8602 -4.5870 9.7765
6.9447 11.4075 0.2054
8.8293 1.3398 0.2054
-0.7645 4.7056 1.0576
1.4890 -1.6681 9.9819
1.6799 4.5634 7.4932
5.9958 6.2918 1.9734
5.2713 -1.7500 10.1237
0.1844 4.0346 4.4622
2.4378 -2.3391 6.5774
-2.4378 -5.0339 10.8341
-1.0999 4.5870 9.7765
-4.6913 9.0685 4.2568
3.9334 -1.8103 3.5463
9.1981 -2.6948 6.7828
-3.3533 10.9606 1.2630
-0.7645 8.1236 0.9158
-5.6604 3.3873 7.6986
6.1868 7.1632 5.7251
3.0179 4.6237 0.9158
4.3225 2.3391 6.5774
9.7782 6.4555 1.9734
2.0690 8.7127 4.4622
-1.0999 -3.3873 7.6986
5.6067 9.7609 3.3409
3.3801 9.5605 2.7599
3.3801 2.3901 1.3799
-2.2534 -3.1868 5.5198
5.6336 -3.9835 9.6596
0.0000 0.0000 0.0000
-1.1267 3.1868 2.7599
1.1267 -3.1868 8.2796
-4.5069 3.1868 5.5198
-1.1267 0.7967 6.8997
1.1267 3.9835 9.6596
6.7603 0.0000 0.0000
2.2534 3.1868 5.5198
5.6336 3.1868 8.2796
7.8870 -0.7967 6.8997
5.6336 5.5770 4.1398
-3.3801 7.1704 4.1398
4.5069 -3.1868 5.5198
4.5069 6.3737 0.0000
-2.2534 6.3737 0.0000
-1.1267 10.3572 1.3799
1.1267 6.3737 2.7599
-3.3801 -2.3901 9.6596
-1.1267 5.5770 6.8997
5.6336 0.7967 4.1398
3.3801 0.0000 8.2796
10.1404 0.0000 2.7599
7.8870 3.9835 1.3799
-5.6336 6.3737 8.2796
7.8870 8.7638 1.3799
1.1267 -0.7967 4.1398
3.3801 7.1704 6.8997
-3.3801 2.3901 9.6596
```

---

The following is a PBE calculation of a relaxed structure of Ac4Sb2PS, from Alexandria via LeMat-Bulk.

Values from the calculation:
Formation energy from raw total energies in kJ/mol of atoms: -142.0
Magnetic moment in μB/f.u.: 0.000
Calculated total energy in eV/cell: -46.0
Fermi-level density of states in states/eV per atom: 0.26

```
Ac4Sb2PS
1.0
-0.2636 -2.6242 3.7606
7.1773 2.5623 2.2910
-0.8249 6.5088 4.4841
P Ac Sb S
1 4 2 1
Cartesian
3.1761 4.5356 3.3876
4.6434 6.7733 5.0520
4.9032 2.2496 4.7186
1.1857 4.1973 5.8172
1.4455 -0.3264 5.4838
-0.8249 6.5088 4.4841
-0.5442 1.9423 4.1224
3.4569 -0.0309 3.0258
```

---

The following is a PBE calculation of a relaxed structure of AcSbP2S8, from Alexandria via LeMat-Bulk.

Values from the calculation:
Formation energy from raw total energies in kJ/mol of atoms: -46.1
Magnetic moment in μB/f.u.: 0.000
Calculated total energy in eV/cell: -57.8
Fermi-level density of states in states/eV per atom: 0.05

```
AcSbP2S8
1.0
6.6256 0.0000 0.0000
-3.3128 5.7379 0.0000
0.0000 0.0000 9.0297
P S Ac Sb
2 8 1 1
Cartesian
0.0000 3.8253 6.3694
3.3128 1.9126 2.6602
-1.7062 4.8103 6.9966
0.0000 3.8253 4.3671
5.0190 0.9276 2.0331
1.6066 0.9276 2.0331
3.3128 3.8828 2.0331
1.7062 4.8103 6.9966
3.3128 1.9126 4.6626
0.0000 1.8551 6.9966
0.0000 0.0000 4.5148
0.0000 0.0000 0.0000
```

---

The following is a PBE calculation of a relaxed structure of Ac4SbP2S, from Alexandria via LeMat-Bulk.

Values from the calculation:
Formation energy from raw total energies in kJ/mol of atoms: -149.5
Magnetic moment in μB/f.u.: 0.000
Calculated total energy in eV/cell: -47.9
Fermi-level density of states in states/eV per atom: 0.25

```
Ac4SbP2S
1.0
4.5034 0.0000 0.0000
0.0000 7.8492 -0.1764
0.0000 2.7401 7.2792
Ac P S Sb
4 2 1 1
Cartesian
4.5034 2.5534 1.8617
2.2517 6.6755 1.6924
0.0001 8.0359 5.2411
2.2517 3.9138 5.4104
2.2517 1.3701 3.6396
0.0000 2.7402 7.2792
0.0000 5.2946 3.5514
2.2517 6.6648 7.1910
```

---

The following is a PBE calculation of a relaxed structure of AcScPS, from Alexandria via LeMat-Bulk.

Values from the calculation:
Formation energy from raw total energies in kJ/mol of atoms: -149.3
Magnetic moment in μB/f.u.: 0.000
Calculated total energy in eV/cell: -52.3
Fermi-level density of states in states/eV per atom: 0.55

```
AcScPS
1.0
-2.3331 1.0550 -3.3744
-1.8921 -0.9695 3.6637
0.5471 13.7554 3.9225
Ac P S Sc
2 2 2 2
Cartesian
-1.8903 3.4465 2.3845
-1.7637 10.9991 1.9997
-1.9634 5.9803 0.5686
-1.5428 12.1831 4.8759
0.0832 2.0928 0.5968
0.3568 8.9705 2.5580
0.5367 13.4951 3.8483
0.2632 6.6173 1.8870
```

---

The following is a PBE calculation of a relaxed structure of Ac4P2SeS, from Alexandria via LeMat-Bulk.

Values from the calculation:
Formation energy from raw total energies in kJ/mol of atoms: -170.5
Magnetic moment in μB/f.u.: 0.000
Calculated total energy in eV/cell: -49.0
Fermi-level density of states in states/eV per atom: 0.30

```
Ac4P2SeS
1.0
-5.2031 3.1148 1.4910
-2.8590 -5.3979 1.2980
5.9718 1.5414 4.5429
P Ac S Se
2 4 1 1
Cartesian
-0.4592 -2.4991 3.6177
0.0000 0.0000 0.0000
0.9414 0.1939 2.8802
0.4963 -2.3022 6.5409
-1.4146 -2.6959 0.6945
-3.0318 -0.9357 4.4516
-1.6312 1.7573 3.7142
-4.0311 -1.1416 1.3945
```

---

The following is a PBE calculation of a relaxed structure of Ac6PSe2S3, from Alexandria via LeMat-Bulk.

Values from the calculation:
Formation energy from raw total energies in kJ/mol of atoms: -183.2
Magnetic moment in μB/f.u.: 0.000
Calculated total energy in eV/cell: -72.2
Fermi-level density of states in states/eV per atom: 0.55

```
Ac6PSe2S3
1.0
-1.8566 -4.8462 -5.5559
6.9281 3.1266 0.1624
0.6826 -4.8799 5.7553
Ac S Se P
6 3 2 1
Cartesian
2.8460 -0.3959 1.0702
2.9081 -6.2036 -0.7084
5.7410 -3.6326 1.1356
0.0131 -2.9669 -0.7738
1.7095 -4.0320 2.9955
4.0446 -2.5675 -2.6337
5.7854 -0.6602 2.0741
-0.0313 -5.9394 -1.7123
2.8770 -3.2998 0.1809
4.0008 0.4699 -1.7431
1.0707 -2.1894 -3.6504
0.0000 0.0000 0.0000
```

---

The following is a PBE calculation of a relaxed structure of Ac8P3SeS4, from Alexandria via LeMat-Bulk.

Values from the calculation:
Formation energy from raw total energies in kJ/mol of atoms: -177.2
Magnetic moment in μB/f.u.: 0.000
Calculated total energy in eV/cell: -98.5
Fermi-level density of states in states/eV per atom: 0.55

```
Ac8P3SeS4
1.0
-6.8282 -4.9133 2.5312
3.8993 -1.4553 7.6939
-1.3048 8.2247 -2.7991
P Ac Se S
3 8 1 4
Cartesian
-2.1169 0.9280 3.7130
1.2972 3.3847 2.4474
-1.4644 -3.1843 5.1126
-1.3802 2.5356 1.1986
0.5228 1.8413 4.9844
-4.1217 -3.9894 3.8043
-0.7970 -1.5970 2.5718
-2.8535 -0.6795 6.2274
-4.7565 0.0148 2.4416
-0.1120 5.8454 3.6217
-3.4368 3.4530 4.8542
1.9497 -0.7276 3.8469
-4.0665 1.6557 -0.1339
-3.4141 -2.4567 1.2656
-0.6524 4.1123 -1.3996
0.0000 0.0000 0.0000
```

---

Record-wise volume values, in Å³/cell: 1902.7, 273.9, 343.3, 259.5, 222.4, 244.1, 357.5, 476.3